Compound: ZnCu2SnSe4
Source: Alexandria via LeMat-Bulk
Functional: PBEsol
Structure: relaxed

```
8
Lattice="-2.732 -0.587 -4.923 -4.102 -2.890 2.621 0.634 6.566 2.120" Properties=species:S:1:pos:R:3 pbc="T T T"
Cu -2.757 2.120 -1.977
Zn -3.442 0.969 1.795
Se -2.321 0.458 -0.325
Cu 0.000 0.000 0.000
Se -1.726 4.161 -1.300
Sn -3.417 -1.738 -1.151
Se -5.967 -1.412 -1.471
Se -2.385 2.972 2.732
```

Results
* formation energy (no corrections): -0.362 eV/atom
* distance to the lowest polymorph of the same formula: 0.000 eV per atom
* space group: I-4
* VASP energy: -4.101 eV/atom

---

Compound: ZnCu2SnSe4
Source: Alexandria via LeMat-Bulk
Functional: PBEsol
Structure: relaxed

```
8
Lattice="-0.263 4.746 -3.071 -5.607 -0.609 -0.461 2.218 0.952 6.496" Properties=species:S:1:pos:R:3 pbc="T T T"
Se -4.658 3.968 -1.398
Se -1.913 0.804 4.121
Sn -2.935 2.068 -1.766
Se 0.869 3.592 2.763
Zn 0.000 0.000 0.000
Se -1.602 1.814 0.441
Cu -3.162 1.206 2.134
Cu -0.490 3.883 0.829
```

Results
* formation energy (no corrections): -0.359 eV/atom
* distance to the lowest polymorph of the same formula: 0.003 eV per atom
* space group: I-42m
* VASP energy: -4.098 eV/atom

---

Compound: Sr3CuSe
Source: Alexandria via LeMat-Bulk
Functional: PBEsol
Structure: relaxed

```
5
Lattice="-3.658 0.781 -4.239 -4.308 -0.490 3.627 0.133 5.577 0.912" Properties=species:S:1:pos:R:3 pbc="T T T"
Sr 0.067 2.789 0.456
Sr -1.829 0.390 -2.119
Se -3.916 2.934 0.150
Cu 0.000 0.000 0.000
Sr -2.154 -0.245 1.814
```

Results
* formation energy (no corrections): -0.273 eV/atom
* space group: Pm-3m
* VASP energy: -3.014 eV/atom

---

Compound: SrCu2Se
Source: Alexandria via LeMat-Bulk
Functional: PBEsol
Structure: relaxed

```
4
Lattice="4.135 0.000 0.000 2.068 4.591 -0.011 2.068 0.940 4.493" Properties=species:S:1:pos:R:3 pbc="T T T"
Se 4.135 2.367 1.919
Cu 4.135 0.400 0.324
Sr 6.203 4.151 3.364
Cu 2.068 1.378 1.117
```

Results
* formation energy (no corrections): -0.279 eV/atom
* space group: Imm2
* VASP energy: -3.869 eV/atom

---

Compound: SrCu2Se
Source: Alexandria via LeMat-Bulk
Functional: PBEsol
Structure: relaxed

```
4
Lattice="4.092 0.000 0.023 0.000 4.295 0.000 -0.026 0.000 4.872" Properties=species:S:1:pos:R:3 pbc="T T T"
Cu 2.040 0.000 1.265
Cu 2.026 0.000 3.630
Se 2.046 2.147 0.012
Sr -0.013 2.147 2.436
```

Results
* formation energy (no corrections): -0.463 eV/atom
* space group: Pmmm
* VASP energy: -4.053 eV/atom

---

Compound: TaCuSe2
Source: Alexandria via LeMat-Bulk
Functional: PBEsol
Structure: relaxed

```
4
Lattice="3.013 -0.020 -0.025 -1.366 4.899 -0.075 -1.366 -1.099 4.774" Properties=species:S:1:pos:R:3 pbc="T T T"
Cu -1.366 1.900 2.350
Se -0.683 2.449 -0.038
Se -0.683 -0.550 2.387
Ta 0.000 0.000 0.000
```

Results
* formation energy (no corrections): 0.170 eV/atom
* space group: C2/m
* VASP energy: -5.977 eV/atom

---

Compound: TaCu2Se
Source: Alexandria via LeMat-Bulk
Functional: PBEsol
Structure: relaxed

```
4
Lattice="-0.574 2.360 2.659 -0.140 -2.707 2.371 4.787 0.515 -1.863" Properties=species:S:1:pos:R:3 pbc="T T T"
Cu 2.145 -1.182 1.512
Se -0.357 -0.173 2.515
Ta 0.000 0.000 0.000
Cu 1.928 1.351 1.656
```

Results
* formation energy (no corrections): 0.245 eV/atom
* space group: I4/mmm
* VASP energy: -6.023 eV/atom

---

Compound: TaCu2Se
Source: Alexandria via LeMat-Bulk
Functional: PBEsol
Structure: relaxed

```
4
Lattice="3.705 0.000 0.000 0.000 3.705 0.000 0.000 0.000 4.183" Properties=species:S:1:pos:R:3 pbc="T T T"
Cu 0.000 1.852 0.000
Cu 1.852 0.000 0.000
Ta 0.000 0.000 2.092
Se 1.852 1.852 2.092
```

Results
* formation energy (no corrections): 0.217 eV/atom
* space group: P4/mmm
* VASP energy: -6.051 eV/atom

---

Compound: TaCuSe2
Source: Alexandria via LeMat-Bulk
Functional: PBEsol
Structure: relaxed

```
4
Lattice="3.419 0.000 0.000 0.000 3.467 0.000 -1.709 0.000 5.839" Properties=species:S:1:pos:R:3 pbc="T T T"
Ta 1.709 0.000 3.587
Se 0.000 1.734 4.778
Cu 1.709 1.734 1.471
Se 0.000 0.000 1.642
```

Results
* formation energy (no corrections): -0.409 eV/atom
* space group: Amm2
* VASP energy: -6.556 eV/atom

---

Compound: TaCu2Se
Source: Alexandria via LeMat-Bulk
Functional: PBEsol
Structure: relaxed

```
4
Lattice="2.862 0.000 0.000 1.431 2.478 0.000 1.431 0.826 8.514" Properties=species:S:1:pos:R:3 pbc="T T T"
Se 2.862 1.652 4.257
Cu 4.293 2.478 6.332
Ta 0.000 0.000 0.000
Cu 1.431 0.826 2.182
```

Results
* formation energy (no corrections): 0.256 eV/atom
* space group: R-3m
* VASP energy: -6.012 eV/atom

---

Compound: TaVCu6Se8
Source: Alexandria via LeMat-Bulk
Functional: PBEsol
Structure: relaxed

```
16
Lattice="-5.344 0.578 -1.384 -2.068 -1.263 7.456 0.461 7.694 1.431" Properties=species:S:1:pos:R:3 pbc="T T T"
Cu -2.672 0.289 -0.692
Se -4.949 1.773 3.049
Cu -1.430 0.994 5.938
Se -1.885 -0.175 1.551
Se -1.609 3.666 2.284
Ta 0.000 0.000 0.000
Se -4.724 5.530 3.748
V -0.803 3.216 4.443
Cu -0.176 5.437 2.949
Se -2.618 3.049 5.924
Se -2.898 -0.794 5.202
Cu -3.475 3.504 3.751
Cu -0.405 1.620 2.239
Cu -1.202 4.811 6.648
Se -3.642 6.162 0.033
Se -3.868 2.394 -0.667
```

Results
* formation energy (no corrections): -0.468 eV/atom
* space group: P-4m2
* VASP energy: -5.405 eV/atom

---

Compound: TbCuSe2
Source: Alexandria via LeMat-Bulk
Functional: PBEsol
Structure: relaxed

```
4
Lattice="-0.117 -1.960 -3.531 1.118 -1.950 3.357 -6.014 -1.589 1.080" Properties=species:S:1:pos:R:3 pbc="T T T"
Cu -4.918 -3.334 -0.299
Se -3.908 -3.172 1.890
Se -1.199 -2.351 -0.967
Tb -2.956 -0.781 0.531
```

Results
* formation energy (no corrections): -1.215 eV/atom
* space group: P3m1
* VASP energy: -5.476 eV/atom